Below is a geometry-optimized Ba2SmMnO5 structure, with properties calculated at the GGA+U level.

Cell and atoms, written as POSCAR:
```
Ba2SmMnO5
1.0
1.845 -7.317 0.000
1.845 7.317 0.000
0.000 0.000 12.153
Ba Sm Mn O
4 2 2 10
direct
0.090 0.910 0.500
0.144 0.856 0.183
0.856 0.144 0.683
0.910 0.090 0.000
0.205 0.795 0.894
0.795 0.205 0.394
0.444 0.556 0.258
0.556 0.444 0.758
0.043 0.957 0.811
0.278 0.722 0.516
0.315 0.685 0.273
0.353 0.647 0.856
0.490 0.510 0.624
0.510 0.490 0.124
0.647 0.353 0.356
0.685 0.315 0.773
0.722 0.278 0.016
0.957 0.043 0.311
```

SG: No. 36
Calculated total energy: -126.3 eV per cell